Cr3AgGe | GGA-PBEsol | relaxed

Cell: 4.823 4.823 4.823 Å, 90.00 90.00 90.00°
Site moments in Bohr magnetons follow the coordinates.
Element x y z (fractional)
1 Cr 0.000 0.500 0.000  3.76
2 Cr 0.000 0.000 0.500  3.76
3 Cr 0.500 0.000 0.000  3.76
4 Ag 0.000 0.000 0.000  0.26
5 Ge 0.500 0.500 0.500  -0.19

Values from the calculation:
The offset from the most stable computed form comes out at 533.8 meV/atom. The calculated formation energy is 1.76 eV/atom. The total energy comes out at -6.036 eV per atom.

Y2CoOs | GGA-PBEsol | relaxed

Cell: 3.234 4.543 5.931 Å, 112.52 105.82 90.00°
Site moments in Bohr magnetons follow the coordinates.
Element x y z (fractional)
1 Y 0.982 0.482 0.964  -0.09
2 Y 0.767 0.767 0.535  -0.02
3 Os 0.212 0.212 0.424  0.15
4 Co 0.538 0.038 0.076  0.90

Values from the calculation:
The calculated formation energy is 0.02 eV/atom. The total energy comes out at -8.376 eV per atom.

ZrMoAu2 | GGA-PBEsol | relaxed

Cell: 4.626 4.626 4.626 Å, 60.00 60.00 60.00°
Site moments in Bohr magnetons follow the coordinates.
Element x y z (fractional)
1 Zr 0.250 0.250 0.250  0.14
2 Au 0.750 0.750 0.750  0.15
3 Au 0.000 0.000 0.000  0.04
4 Mo 0.500 0.500 0.500  1.35

Values from the calculation:
The offset from the most stable computed form comes out at 168.9 meV/atom. The calculated formation energy is 0.11 eV/atom. The total energy comes out at -7.064 eV per atom.